Below is a relaxed structure of Dy2Sc3Ge4, with properties calculated at the PBE level.

Computed properties:
Formation energy: -0.911 eV per atom
Mass density: 6.519 Mg/m³

```
18
Lattice="7.244 -0.108 0.000 -2.484 7.091 0.000 0.000 0.000 7.482" Properties=species:S:1:pos:R:3 pbc="T T T"
Dy 3.611 1.308 2.411
Sc 3.617 5.253 2.481
Dy 4.771 5.621 6.152
Dy 1.149 5.675 5.071
Ge -0.281 3.585 6.495
Sc -1.242 3.545 3.741
Ge -1.152 6.480 3.434
Ge 5.041 3.398 0.987
Sc 1.143 1.730 5.001
Ge 2.291 0.557 7.174
Sc 2.380 3.491 0.000
Ge 1.419 3.452 2.754
Ge 2.470 6.426 0.307
Sc 4.765 1.676 6.222
Ge 5.913 0.503 4.048
Ge 3.341 3.531 4.728
Dy -0.011 1.362 1.330
Sc -0.005 5.307 1.260
```


Below is a relaxed structure of RbMnP2Pt4, with properties calculated at the PBE level.

Computed properties:
Formation energy: -0.458 eV per atom
Mass density: 9.935 Mg/m³

```
8
Lattice="-2.003 1.531 -3.137 -1.197 -3.699 -1.041 -8.262 1.044 5.786" Properties=species:S:1:pos:R:3 pbc="T T T"
Pt -2.403 0.943 -0.587
P -7.477 -0.341 2.027
Pt -7.459 -0.982 4.284
P -3.985 -0.782 -0.419
Pt -7.862 1.633 3.236
Mn 0.000 0.000 0.000
Rb -4.131 0.522 2.893
Pt -2.000 -1.672 0.461
```


Below is a relaxed structure of AlZn5Au4, with properties calculated at the PBE level.

Computed properties:
Formation energy: -0.181 eV per atom
Mass density: 11.765 Mg/m³

```
10
Lattice="4.096 0.000 -1.404 -0.573 5.289 -1.673 0.259 -0.226 7.431" Properties=species:S:1:pos:R:3 pbc="T T T"
Au -0.086 4.618 -0.251
Au 1.020 3.550 2.977
Zn 1.253 0.851 3.655
Zn 2.528 4.212 0.698
Zn 1.761 2.644 -1.538
Au 2.761 1.513 1.377
Al 2.048 0.000 -0.702
Zn 3.537 2.922 3.639
Au 3.868 0.445 4.605
Zn 0.245 2.141 0.715
```


Below is a relaxed structure of Zr9V4S, with properties calculated at the PBE level.

Computed properties:
Mass density: 6.353 Mg/m³
E_form (uncorrected): -0.206 eV per atom

```
28
Lattice="8.631 0.000 0.000 -4.316 7.475 0.000 0.000 0.000 8.564" Properties=species:S:1:pos:R:3 pbc="T T T"
V 0.000 1.553 2.141
Zr 2.697 3.426 6.423
S 4.316 2.492 2.141
V 4.315 5.922 6.423
Zr 2.532 1.462 3.846
V -2.971 6.698 2.141
Zr 6.099 1.462 3.846
Zr 4.316 0.622 6.423
Zr 5.934 3.426 6.423
V 2.971 6.698 2.141
Zr 6.099 1.462 0.437
S 0.000 4.983 6.423
V 0.000 0.000 4.282
Zr 4.315 4.551 3.846
Zr -1.783 6.013 4.719
Zr 1.783 6.013 4.719
Zr -1.783 6.013 8.128
Zr 0.000 2.924 8.128
V 1.345 0.776 6.423
Zr 1.783 6.013 8.128
Zr 2.532 1.462 0.437
Zr 1.619 4.049 2.141
V 7.286 0.776 6.423
Zr 0.000 2.924 4.719
Zr -1.619 4.049 2.141
Zr 4.315 4.551 0.437
V 0.000 0.000 0.000
Zr 0.000 6.852 2.141
```


Below is a relaxed structure of SiOs2Br, with properties calculated at the PBE level.

Computed properties:
Mass density: 13.163 Mg/m³
E_form (uncorrected): 0.617 eV per atom
Energy above the most stable polymorph in this dataset: 0.1504 eV per atom

```
4
Lattice="-2.849 -0.951 0.019 0.621 -1.814 2.312 -1.639 4.996 4.360" Properties=species:S:1:pos:R:3 pbc="T T T"
Si -1.524 -0.133 2.256
Os -0.085 0.258 0.225
Os -0.735 2.241 1.955
Br -2.343 2.365 4.436
```


Below is a relaxed structure of NbBiS, with properties calculated at the PBE level.

Computed properties:
Mass density: 7.927 Mg/m³
E_form (uncorrected): -0.504 eV per atom
Energy above the most stable polymorph in this dataset: 0.0244 eV per atom

```
9
Lattice="-0.623 -3.132 0.923 2.458 0.644 -2.143 14.027 2.142 16.729" Properties=species:S:1:pos:R:3 pbc="T T T"
S 8.095 -0.699 9.073
S 3.015 0.461 3.596
S 13.797 1.274 13.627
Nb 13.350 2.039 15.922
Bi 5.580 0.852 6.654
Nb 4.403 -1.263 4.670
Bi 2.335 -0.477 -0.043
Bi 10.660 -0.307 12.132
Nb 10.105 0.710 9.224
```


Below is a relaxed structure of TmSn3Te6, with properties calculated at the PBE level.

Computed properties:
Mass density: 6.551 Mg/m³
E_form (uncorrected): -0.447 eV per atom

```
20
Lattice="4.287 0.000 0.000 0.000 13.025 -0.249 0.000 -4.609 11.807" Properties=species:S:1:pos:R:3 pbc="T T T"
Te 3.215 11.627 0.983
Sn 1.072 6.804 10.270
Te 1.072 5.155 4.495
Te 3.215 -0.946 5.581
Te 3.215 4.638 0.584
Te 1.072 -0.370 8.847
Sn 3.215 7.123 5.164
Sn 1.072 6.379 1.725
Tm 1.072 11.032 3.264
Te 3.215 7.196 8.236
Te 1.072 9.362 5.977
Te 3.215 8.786 2.711
Sn 1.072 1.293 6.394
Te 1.072 3.778 10.974
Sn 3.215 2.037 9.833
Tm 3.215 -2.615 8.294
Te 1.072 -3.211 10.576
Te 1.072 1.220 3.323
Sn 3.215 1.612 1.289
Te 3.215 3.262 7.064
```


Below is a relaxed structure of K2AgBO4, with properties calculated at the PBE level.

Computed properties:
Mass density: 3.833 Mg/m³
E_form (uncorrected): -1.285 eV per atom

```
8
Lattice="5.845 0.000 -0.004 -0.002 5.844 -0.003 -2.920 -2.920 3.312" Properties=species:S:1:pos:R:3 pbc="T T T"
K 0.001 0.001 1.561
O 1.869 3.617 0.763
O 3.976 2.228 0.763
K 0.001 2.924 3.213
Ag 2.924 0.002 3.212
B 2.923 2.923 1.558
O 3.619 -1.868 2.355
O 2.229 1.870 2.354
```


- What is the mass density in the fourth record?
  6.353 Mg/m³


- What is the mass density in the third record?
  11.765 Mg/m³


- Which value of mass density does entry 8 give?
  3.833 Mg/m³


Repeat the second record exactly.
Below is a relaxed structure of RbMnP2Pt4, with properties calculated at the PBE level.

Computed properties:
Formation energy: -0.458 eV per atom
Mass density: 9.935 Mg/m³

```
8
Lattice="-2.003 1.531 -3.137 -1.197 -3.699 -1.041 -8.262 1.044 5.786" Properties=species:S:1:pos:R:3 pbc="T T T"
Pt -2.403 0.943 -0.587
P -7.477 -0.341 2.027
Pt -7.459 -0.982 4.284
P -3.985 -0.782 -0.419
Pt -7.862 1.633 3.236
Mn 0.000 0.000 0.000
Rb -4.131 0.522 2.893
Pt -2.000 -1.672 0.461
```